Here is a relaxed structure of BaY from Alexandria. Energies are from PBE.

Unit cell a=4.417 b=4.417 c=4.434 alpha=90.00 beta=90.00 gamma=90.00
Space group P4/mmm (No. 123)
Inequivalent atoms, fractional coordinates:
Ba 0.000 0.000 0.000 (multiplicity 1)
Y 0.500 0.500 0.500 (multiplicity 1)

Relative energy among the computed polymorphs (eV per formula unit): 0.37
ρ (g cm⁻³): 4.34

Here is a relaxed structure of Pr6Sb3TePb2 from Alexandria. Energies are from PBE.

Unit cell a=19.958 b=4.529 c=9.223 alpha=90.00 beta=103.52 gamma=90.00
Space group C2/m (No. 12)
Inequivalent atoms, fractional coordinates:
Pr 0.001 0.000 0.245 (multiplicity 4)
Pr 0.165 0.500 0.088 (multiplicity 4)
Pr 0.167 0.500 0.579 (multiplicity 4)
Sb 0.000 0.500 0.000 (multiplicity 2)
Sb 0.165 0.000 0.334 (multiplicity 4)
Te 0.000 0.500 0.500 (multiplicity 2)
Pb 0.167 0.000 0.833 (multiplicity 4)

Raw formation energy (eV per atom): -1.02
ρ (g cm⁻³): 7.18

Here is a relaxed structure of ZnCoOs from Alexandria. Energies are from PBE.

Unit cell a=2.661 b=2.661 c=11.028 alpha=90.00 beta=90.00 gamma=90.00
Space group I4mm (No. 107)
Inequivalent atoms, fractional coordinates:
Zn 0.000 0.000 0.000 (multiplicity 2)
Co 0.000 0.000 0.666 (multiplicity 2)
Os 0.000 0.000 0.314 (multiplicity 2)

Relative energy among the computed polymorphs (eV per formula unit): 0.17
ρ (g cm⁻³): 13.38

Here is a relaxed structure of PrBF from Alexandria. Energies are from PBE.

Unit cell a=3.5519 b=3.5519 c=25.5582 alpha=90.00 beta=90.00 gamma=120.00
Space group R-3m (No. 166, hexagonal axes)
Inequivalent atoms, fractional coordinates:
Pr 0.0000 0.0000 0.0766 (multiplicity 6)
B 0.0000 0.0000 0.3354 (multiplicity 6)
F 0.0000 0.0000 0.2041 (multiplicity 6)

Relative energy among the computed polymorphs (eV per formula unit): 0.11
Raw formation energy (eV per atom): -1.82
ρ (g cm⁻³): 6.09

Here is a relaxed structure of KNaVS3 from Alexandria. Energies are from PBE.

Unit cell a=11.157 b=7.866 c=8.540 alpha=90.00 beta=118.83 gamma=90.00
Space group C2/m (No. 12)
Inequivalent atoms, fractional coordinates:
K 0.186 0.000 0.191 (multiplicity 4)
Na 0.000 0.205 0.500 (multiplicity 4)
V 0.039 0.500 0.176 (multiplicity 4)
S 0.074 0.276 0.844 (multiplicity 8)
S 0.246 0.000 0.627 (multiplicity 4)

Raw formation energy (eV per atom): -0.89
ρ (g cm⁻³): 2.12

Here is a relaxed structure of PuNi4Sb from Alexandria. Energies are from PBE.

Unit cell a=6.525 b=3.628 c=8.766 alpha=90.00 beta=90.00 gamma=90.00
Space group Pmma (No. 51)
Inequivalent atoms, fractional coordinates:
Pu 0.250 0.000 0.212 (multiplicity 2)
Ni 0.000 0.000 0.500 (multiplicity 2)
Ni 0.062 0.500 0.689 (multiplicity 4)
Ni 0.250 0.500 0.450 (multiplicity 2)
Sb 0.250 0.000 0.845 (multiplicity 2)

Relative energy among the computed polymorphs (eV per formula unit): 0.71
Raw formation energy (eV per atom): -0.10
ρ (g cm⁻³): 9.61

Here is a relaxed structure of UCdPtO6 from Alexandria. Energies are from PBE.

Unit cell a=5.3633 b=5.3633 c=10.0654 alpha=90.00 beta=90.00 gamma=120.00
Space group P-31c (No. 163)
Inequivalent atoms, fractional coordinates:
U 0.3333 0.6667 0.2500 (multiplicity 2)
Cd 0.0000 0.0000 0.0000 (multiplicity 2)
Pt 0.3333 0.6667 0.7500 (multiplicity 2)
O 0.0083 0.3557 0.6375 (multiplicity 12)

Raw formation energy (eV per atom): -1.76
ρ (g cm⁻³): 8.50

Here is a relaxed structure of ZrSc from Alexandria. Energies are from PBE.

Unit cell a=9.086 b=9.086 c=9.086 alpha=90.00 beta=90.00 gamma=90.00
Space group Fd-3m (No. 227, origin choice 2)
Inequivalent atoms, fractional coordinates:
Zr 0.000 0.000 0.000 (multiplicity 16)
Sc 0.000 0.000 0.500 (multiplicity 16)

Raw total energy (eV/atom): -7.4053
ρ (g cm⁻³): 4.82